This record from Alexandria via LeMat-Bulk describes RbHS2N after structural relaxation. The functional is GGA-PBEsol.

It has space group P4/mmm (No. 123), with a = 6.483 Å, b = 6.483 Å, c = 6.361 Å, α = 90.00°, β = 90.00° and γ = 90.00°. Symmetry generates all atoms from Rb at (0.000, 0.000, 0.000), H at (0.500, 0.500, 0.500), S at (0.000, 0.500, 0.000) and N at (0.000, 0.000, 0.500).

The uncorrected energy comes out at -2.2022 eV/atom.